Density functional theory data (PBE-GGA) for a geometry-optimized TbDyInCu structure.

Summary:
DOS(E_F) (states/eV/atom): 0.912
Space group: F-43m (216)
Calculated volume (Å³/atom): 24.5
ΔH_f (0 K) (meV per atom): -307

Unit cell a=5.1734 b=5.1734 c=5.1734 alpha=60.00 beta=60.00 gamma=60.00
Fractional coordinates of all 4 atoms:
Tb  0.0000  0.0000  0.0000
Dy  0.5000  0.5000  0.5000
In  0.7500  0.7500  0.7500
Cu  0.2500  0.2500  0.2500